# Cs5Sb2Te6

An optimized crystal structure of Cs5Sb2Te6 (PBE, Alexandria via LeMat-Bulk).

Summary:
- Space-group type: No. 55
- Energy: -3.14 eV per atom

a = 5.5641 Å, b = 14.9639 Å, c = 16.2253 Å
α = 90.00°, β = 90.00°, γ = 90.00°
Closest atoms and distances in Å follow each position.
Element x y z (fractional)
Cs 0.5000 0.4372 0.7359  6 Te 3.79-3.98
Cs 0.5000 0.5628 0.2641  6 Te 3.79-3.98
Cs 0.5000 0.1877 0.9887  5 Te 3.80-4.09
Cs 0.5000 0.5000 0.0000  6 Te 4.09-4.41, 2 Cs 4.39
Cs 0.5000 0.8123 0.0113  5 Te 3.80-4.09
Cs 0.5000 0.9372 0.7641  6 Te 3.79-3.98
Cs 0.5000 0.0000 0.5000  6 Te 4.09-4.41, 2 Cs 4.39
Cs 0.5000 0.6877 0.5113  5 Te 3.80-4.09
Cs 0.5000 0.0628 0.2359  6 Te 3.79-3.98
Cs 0.5000 0.3123 0.4887  5 Te 3.80-4.09
Te 0.5000 0.8148 0.2884  2 Sb 3.02
Te 0.0000 0.0458 0.8973  1 Sb 2.81
Te 0.0000 0.6587 0.1127  1 Sb 2.84
Te 0.0000 0.3413 0.8873  1 Sb 2.84
Te 0.0000 0.1587 0.3873  1 Sb 2.84
Te 0.5000 0.6852 0.7884  2 Sb 3.02
Te 0.0000 0.5458 0.6027  1 Sb 2.81
Te 0.0000 0.8413 0.6127  1 Sb 2.84
Te 0.5000 0.1852 0.7116  2 Sb 3.02
Te 0.5000 0.3148 0.2116  2 Sb 3.02
Te 0.0000 0.9542 0.1027  1 Sb 2.81
Te 0.0000 0.4542 0.3973  1 Sb 2.81
Sb 0.0000 0.1880 0.7839  4 Te 2.81-3.02
Sb 0.0000 0.3120 0.2839  4 Te 2.81-3.02
Sb 0.0000 0.8120 0.2161  4 Te 2.81-3.02
Sb 0.0000 0.6880 0.7161  4 Te 2.81-3.02